# 1
Entry from the Alexandria database: a geometry-optimized SrOsI2 structure (PBE-GGA).

Lattice parameters (Å, degrees): 5.8266 5.8266 9.0855 71.30 71.30 90.00
Element x y z (fractional)
Sr 0.5000 0.5000 0.0000
Sr 0.2500 0.7500 0.5000
Os 0.7500 0.2500 0.5000
Os 0.0000 0.0000 0.0000
I 0.3750 0.2941 0.7500
I 0.8750 0.9559 0.7500
I 0.7059 0.1250 0.2500
I 0.0441 0.6250 0.2500

Formation energy (no corrections) (eV/atom): 0.33
Size of the total moment (μB per atom): 0.0000
E_tot (hartree per atom): -0.135
SG: I-42d (122)

***

# 2
Entry from the Alexandria database: a geometry-optimized Ta2Be2AlRu5 structure (PBE-GGA).

Lattice parameters (Å, degrees): 3.1261 9.2561 9.2561 90.00 90.00 90.00
Element x y z (fractional)
Be 0.0000 0.3758 0.1242
Be 0.0000 0.8758 0.3758
Be 0.0000 0.1242 0.6242
Be 0.0000 0.6242 0.8758
Ru 0.5000 0.5000 0.0000
Ru 0.5000 0.2077 0.0723
Ru 0.5000 0.9277 0.2077
Ru 0.5000 0.5723 0.7077
Ru 0.5000 0.0000 0.5000
Ru 0.5000 0.2923 0.5723
Ru 0.5000 0.4277 0.2923
Ru 0.5000 0.0723 0.7923
Ru 0.5000 0.7077 0.4277
Ru 0.5000 0.7923 0.9277
Ta 0.0000 0.8247 0.6753
Ta 0.0000 0.6753 0.1753
Ta 0.0000 0.3247 0.8247
Ta 0.0000 0.1753 0.3247
Al 0.0000 0.5000 0.5000
Al 0.0000 0.0000 0.0000

Size of the total moment (μB per atom): 0.0000
Energy relative to the elements (eV per atom): -0.45
E_tot (hartree per atom): -0.315
SG: P4/mbm (127)

***

# 3
Entry from the Alexandria database: a geometry-optimized NaMg3Cu structure (PBE-GGA).

Lattice parameters (Å, degrees): 5.2472 5.2472 5.2472 90.00 90.00 90.00
Element x y z (fractional)
Mg 0.0000 0.0000 0.5000
Mg 0.5000 0.0000 0.0000
Mg 0.0000 0.5000 0.0000
Na 0.0000 0.0000 0.0000
Cu 0.5000 0.5000 0.5000

Size of the total moment (μB per atom): 0.0000
Energy relative to the elements (eV per atom): 0.97
E_tot (hartree per atom): -0.039
SG: Pm-3m (221)